Here is an optimized crystal structure of BIrC2 from the Alexandria database. Energies are from PBE.

Output
As for the density of states at the Fermi level: 0.15 states/eV per atom. The energy is -7.940 eV per atom. The value obtained for the formation energy is 557 meV per atom. Its crystal system is triclinic.

a = 2.783 Å, b = 2.807 Å, c = 5.126 Å
α = 90.90°, β = 91.65°, γ = 105.36°
Positions (direct):
Ir (0.874, 0.007, 0.394)
C (0.460, 0.341, 0.173)
C (0.455, 0.419, 0.904)
B (0.949, 0.427, 0.760)


Here is an optimized crystal structure of BIrC2 from the Alexandria database. Energies are from PBE.

Output
As for the density of states at the Fermi level: 0.17 states/eV per atom. The energy is -8.108 eV per atom. The value obtained for the formation energy is 388 meV per atom. Its crystal system is orthorhombic.

a = 2.596 Å, b = 3.088 Å, c = 10.146 Å
α = 90.00°, β = 90.00°, γ = 90.00°
Positions (direct):
C (0.000, 0.000, 0.387)
C (0.500, 0.500, 0.951)
C (0.500, 0.000, 0.451)
C (0.000, 0.500, 0.887)
Ir (0.000, 0.500, 0.688)
Ir (0.000, 0.000, 0.188)
B (0.500, 0.500, 0.108)
B (0.500, 0.000, 0.608)


Here is an optimized crystal structure of BIrC2 from the Alexandria database. Energies are from PBE.

Output
As for the density of states at the Fermi level: 0.29 states/eV per atom. The energy is -7.937 eV per atom. The value obtained for the formation energy is 560 meV per atom. Its crystal system is triclinic.

a = 2.601 Å, b = 4.002 Å, c = 4.041 Å
α = 97.52°, β = 108.73°, γ = 108.96°
Positions (direct):
C (0.560, 0.337, 0.094)
C (0.157, 0.330, 0.296)
Ir (0.090, 0.890, 0.596)
B (0.472, 0.505, 0.747)


Here is an optimized crystal structure of B3IrC from the Alexandria database. Energies are from PBE.

Output
As for the density of states at the Fermi level: 0.38 states/eV per atom. The energy is -5.554 eV per atom. The value obtained for the formation energy is 2069 meV per atom. Its crystal system is cubic. The calculation puts the energy above the most stable polymorph in this dataset at 545 meV/atom.

a = 4.091 Å, b = 4.091 Å, c = 4.091 Å
α = 90.00°, β = 90.00°, γ = 90.00°
Positions (direct):
B (0.000, 0.000, 0.500)
B (0.500, 0.000, 0.000)
B (0.000, 0.500, 0.000)
Ir (0.000, 0.000, 0.000)
C (0.500, 0.500, 0.500)


Here is an optimized crystal structure of BIr3C from the Alexandria database. Energies are from PBE.

Output
As for the density of states at the Fermi level: 0.99 states/eV per atom. The energy is -7.327 eV per atom. The value obtained for the formation energy is 1170 meV per atom. Its crystal system is cubic. The calculation puts the energy above the most stable polymorph in this dataset at 0 meV/atom.

a = 4.025 Å, b = 4.025 Å, c = 4.025 Å
α = 90.00°, β = 90.00°, γ = 90.00°
Positions (direct):
C (0.000, 0.000, 0.000)
B (0.500, 0.500, 0.500)
Ir (0.000, 0.500, 0.000)
Ir (0.500, 0.000, 0.000)
Ir (0.000, 0.000, 0.500)


Here is an optimized crystal structure of BIrC3 from the Alexandria database. Energies are from PBE.

Output
As for the density of states at the Fermi level: 0.43 states/eV per atom. The energy is -6.237 eV per atom. The value obtained for the formation energy is 2405 meV per atom. Its crystal system is cubic. The calculation puts the energy above the most stable polymorph in this dataset at 0 meV/atom.

a = 3.484 Å, b = 3.484 Å, c = 3.484 Å
α = 90.00°, β = 90.00°, γ = 90.00°
Positions (direct):
C (0.500, 0.000, 0.000)
C (0.000, 0.500, 0.000)
C (0.000, 0.000, 0.500)
Ir (0.500, 0.500, 0.500)
B (0.000, 0.000, 0.000)


Here is an optimized crystal structure of BIrC2 from the Alexandria database. Energies are from PBE.

Output
As for the density of states at the Fermi level: 0.23 states/eV per atom. The energy is -7.812 eV per atom. The value obtained for the formation energy is 684 meV per atom. Its crystal system is orthorhombic.

a = 2.744 Å, b = 2.933 Å, c = 10.022 Å
α = 90.00°, β = 90.00°, γ = 90.00°
Positions (direct):
Ir (0.500, 0.500, 0.083)
Ir (0.500, 0.000, 0.583)
C (0.000, 0.000, 0.011)
C (0.500, 0.500, 0.283)
C (0.500, 0.000, 0.783)
C (0.000, 0.500, 0.511)
B (0.000, 0.500, 0.352)
B (0.000, 0.000, 0.852)


Here is an optimized crystal structure of B3IrC from the Alexandria database. Energies are from PBE.

Output
As for the density of states at the Fermi level: 0.60 states/eV per atom. The energy is -6.099 eV per atom. The value obtained for the formation energy is 1524 meV per atom. Its crystal system is cubic. The calculation puts the energy above the most stable polymorph in this dataset at 0 meV/atom.

a = 3.469 Å, b = 3.469 Å, c = 3.469 Å
α = 90.00°, β = 90.00°, γ = 90.00°
Positions (direct):
B (0.000, 0.000, 0.500)
B (0.500, 0.000, 0.000)
B (0.000, 0.500, 0.000)
C (0.000, 0.000, 0.000)
Ir (0.500, 0.500, 0.500)


Here is an optimized crystal structure of BIrC2 from the Alexandria database. Energies are from PBE.

Output
As for the density of states at the Fermi level: 0.22 states/eV per atom. The energy is -7.883 eV per atom. The value obtained for the formation energy is 614 meV per atom. Its crystal system is monoclinic.

a = 5.125 Å, b = 2.784 Å, c = 6.323 Å
α = 90.00°, β = 105.68°, γ = 90.00°
Positions (direct):
B (0.893, 0.000, 0.959)
B (0.893, 0.500, 0.459)
C (0.760, 0.500, 0.936)
C (0.216, 0.000, 0.994)
C (0.760, 0.000, 0.436)
C (0.216, 0.500, 0.494)
Ir (0.362, 0.000, 0.323)
Ir (0.362, 0.500, 0.823)


Here is an optimized crystal structure of BIrC2 from the Alexandria database. Energies are from PBE.

Output
As for the density of states at the Fermi level: 0.09 states/eV per atom. The energy is -8.066 eV per atom. The value obtained for the formation energy is 431 meV per atom. Its crystal system is monoclinic.

a = 4.967 Å, b = 2.747 Å, c = 6.789 Å
α = 90.00°, β = 111.80°, γ = 90.00°
Positions (direct):
Ir (0.735, 0.000, 0.550)
Ir (0.735, 0.500, 0.050)
C (0.437, 0.000, 0.912)
C (0.437, 0.500, 0.412)
C (0.137, 0.000, 0.851)
C (0.137, 0.500, 0.351)
B (0.989, 0.000, 0.357)
B (0.989, 0.500, 0.857)


Here is an optimized crystal structure of BIrC2 from the Alexandria database. Energies are from PBE.

Output
As for the density of states at the Fermi level: 0.10 states/eV per atom. The energy is -7.898 eV per atom. The value obtained for the formation energy is 598 meV per atom. Its crystal system is orthorhombic.

a = 3.327 Å, b = 2.819 Å, c = 4.157 Å
α = 90.00°, β = 90.00°, γ = 90.00°
Positions (direct):
B (0.000, 0.000, 0.045)
C (0.000, 0.500, 0.537)
C (0.000, 0.500, 0.878)
Ir (0.500, 0.500, 0.242)


Here is an optimized crystal structure of BIrC2 from the Alexandria database. Energies are from PBE.

Output
As for the density of states at the Fermi level: 0.12 states/eV per atom. The energy is -7.768 eV per atom. The value obtained for the formation energy is 728 meV per atom. Its crystal system is triclinic.

a = 3.506 Å, b = 4.012 Å, c = 4.106 Å
α = 103.05°, β = 111.40°, γ = 106.05°
Positions (direct):
C (0.997, 0.909, 0.757)
C (0.973, 0.883, 0.417)
B (0.140, 0.077, 0.176)
Ir (0.822, 0.362, 0.456)